1.
Computed, not measured: a relaxed structure of TbCe4Sb5 at the PBE-GGA level of DFT.

Computed properties:
M_tot ... 6.78 Bohr magnetons per cell
Formation energy without anion corrections ... -1.061 eV per atom
Raw total energy ... -5.9592 eV per atom
N(E_F) ... 52.077 states/eV per cell
Calculated density ... 6.9 g/cm³

Unit cell a=4.4771 b=6.3414 c=22.4290 alpha=90.00 beta=90.00 gamma=90.00
With the nearest neighbours (Å) after each atom.
Space group Immm (No. 71)
Unique sites:
Tb  0.0000  0.0000  0.0000 [2 per cell]  6 Sb 3.14-3.17
Ce  0.0000  0.0000  0.1986 [4 per cell]  6 Sb 3.17-3.19
Ce  0.0000  0.0000  0.4005 [4 per cell]  6 Sb 3.16-3.18
Sb  0.0000  0.5000  0.0000 [2 per cell]  4 Ce 3.16, 2 Tb 3.17
Sb  0.0000  0.5000  0.2002 [4 per cell]  6 Ce 3.17-3.19
Sb  0.0000  0.5000  0.4020 [4 per cell]  2 Tb 3.14, 4 Ce 3.17-3.18


2.
Computed, not measured: a relaxed structure of ZnIn2Pd at the PBE-GGA level of DFT.

Computed properties:
M_tot ... 0.00 Bohr magnetons per cell
Raw total energy ... -3.0050 eV per atom
N(E_F) ... 7.650 states/eV per cell
Calculated density ... 7.8 g/cm³

Unit cell a=4.2728 b=4.2728 c=18.7357 alpha=90.00 beta=90.00 gamma=90.00
With the nearest neighbours (Å) after each atom.
Space group I-42d (No. 122)
Unique sites:
Zn  0.0000  0.0000  0.0000 [4 per cell]  4 In 2.80, 4 Pd 3.02
In  0.2445  0.2500  0.6250 [8 per cell]  2 Pd 2.78, 2 Zn 2.80, 4 In 2.99-3.05
Pd  0.0000  0.0000  0.5000 [4 per cell]  4 In 2.78, 4 Zn 3.02


3.
Computed, not measured: a relaxed structure of Ho8TcIr2 at the PBE-GGA level of DFT.

Computed properties:
M_tot ... 0.00 Bohr magnetons per cell
Raw total energy ... -6.2329 eV per atom
N(E_F) ... 18.090 states/eV per cell
Calculated density ... 10.5 g/cm³

Unit cell a=8.3462 b=12.5541 c=5.7302 alpha=90.00 beta=108.30 gamma=90.00
With the nearest neighbours (Å) after each atom.
Space group Cm (No. 8)
Unique sites:
Ho  0.0000  0.0000  0.0000 [2 per cell]  1 Tc 2.93, 2 Ir 2.96
Ho  0.0583  0.3734  0.7754 [4 per cell]  2 Ir 2.80-2.83
Ho  0.1571  0.1270  0.5838 [4 per cell]  2 Ir 2.83
Ho  0.2186  0.5000  0.3749 [2 per cell]  1 Tc 2.87, 2 Ir 2.99
Ho  0.3537  0.2171  0.1853 [4 per cell]  1 Tc 2.78, 2 Ir 3.09-3.11
Tc  0.3598  0.0000  0.2833 [2 per cell]  4 Ho 2.78-2.93
Ir  0.3614  0.3117  0.6905 [4 per cell]  8 Ho 2.80-3.11


4.
Computed, not measured: a relaxed structure of PmPr2HoEr at the PBE-GGA level of DFT.

Computed properties:
M_tot ... 0.00 Bohr magnetons per cell
Raw total energy ... -4.2862 eV per atom
N(E_F) ... 28.382 states/eV per cell
Calculated density ... 7.0 g/cm³

Unit cell a=8.4834 b=11.6455 c=7.3275 alpha=90.00 beta=90.00 gamma=90.00
With the nearest neighbours (Å) after each atom.
Space group Cmcm (No. 63)
Unique sites:
Pm  0.0000  0.2243  0.2500 [4 per cell]  1 Ho 3.09
Pr  0.1935  0.0000  0.0000 [8 per cell]  2 Ho 3.18, 1 Pr 3.28
Ho  0.0000  0.4894  0.2500 [4 per cell]  1 Pm 3.09, 4 Pr 3.18, 1 Er 3.22
Er  0.0000  0.2344  0.7500 [4 per cell]  1 Ho 3.22


5.
Computed, not measured: a relaxed structure of ReSiBP2 at the PBE-GGA level of DFT.

Computed properties:
M_tot ... 0.25 Bohr magnetons per cell
Formation energy without anion corrections ... 1.387 eV per atom
Raw total energy ... -5.6870 eV per atom
N(E_F) ... 2.762 states/eV per cell
Calculated density ... 6.4 g/cm³

Unit cell a=4.5506 b=4.5506 c=3.5935 alpha=90.00 beta=90.00 gamma=90.00
With the nearest neighbours (Å) after each atom.
Space group P4/mmm (No. 123)
Unique sites:
Re  0.0000  0.0000  0.0000 [1 per cell]  8 P 2.90, 4 B 3.22
Si  0.5000  0.5000  0.5000 [1 per cell]  2 B 1.80
B  0.5000  0.5000  0.0000 [1 per cell]  2 Si 1.80
P  0.0000  0.5000  0.5000 [2 per cell]  2 Si 2.28


6.
Computed, not measured: a relaxed structure of MgAuF5 at the PBE-GGA level of DFT.

Computed properties:
M_tot ... 0.00 Bohr magnetons per cell
Formation energy without anion corrections ... -2.010 eV per atom
Raw total energy ... -4.0426 eV per atom
N(E_F) ... 0.000 states/eV per cell
Calculated density ... 5.0 g/cm³

Unit cell a=6.3987 b=9.0087 c=7.3839 alpha=90.00 beta=101.02 gamma=90.00
With the nearest neighbours (Å) after each atom.
Space group C2/c (No. 15)
Unique sites:
Mg  0.0000  0.0000  0.0000 [4 per cell]  6 F 1.94-2.17
Au  0.0000  0.3695  0.2500 [4 per cell]  4 F 1.97-2.00
F  0.0000  0.0674  0.7500 [4 per cell]  2 Mg 1.94
F  0.0755  0.2077  0.4293 [8 per cell]  1 Au 1.97, 1 Mg 2.03
F  0.1573  0.4750  0.9151 [8 per cell]  1 Au 2.00, 1 Mg 2.17


Repeat the first record exactly.
Computed, not measured: a relaxed structure of TbCe4Sb5 at the PBE-GGA level of DFT.

Computed properties:
M_tot ... 6.78 Bohr magnetons per cell
Formation energy without anion corrections ... -1.061 eV per atom
Raw total energy ... -5.9592 eV per atom
N(E_F) ... 52.077 states/eV per cell
Calculated density ... 6.9 g/cm³

Unit cell a=4.4771 b=6.3414 c=22.4290 alpha=90.00 beta=90.00 gamma=90.00
With the nearest neighbours (Å) after each atom.
Space group Immm (No. 71)
Unique sites:
Tb  0.0000  0.0000  0.0000 [2 per cell]  6 Sb 3.14-3.17
Ce  0.0000  0.0000  0.1986 [4 per cell]  6 Sb 3.17-3.19
Ce  0.0000  0.0000  0.4005 [4 per cell]  6 Sb 3.16-3.18
Sb  0.0000  0.5000  0.0000 [2 per cell]  4 Ce 3.16, 2 Tb 3.17
Sb  0.0000  0.5000  0.2002 [4 per cell]  6 Ce 3.17-3.19
Sb  0.0000  0.5000  0.4020 [4 per cell]  2 Tb 3.14, 4 Ce 3.17-3.18


Please write out number 4 again, unchanged.
Computed, not measured: a relaxed structure of PmPr2HoEr at the PBE-GGA level of DFT.

Computed properties:
M_tot ... 0.00 Bohr magnetons per cell
Raw total energy ... -4.2862 eV per atom
N(E_F) ... 28.382 states/eV per cell
Calculated density ... 7.0 g/cm³

Unit cell a=8.4834 b=11.6455 c=7.3275 alpha=90.00 beta=90.00 gamma=90.00
With the nearest neighbours (Å) after each atom.
Space group Cmcm (No. 63)
Unique sites:
Pm  0.0000  0.2243  0.2500 [4 per cell]  1 Ho 3.09
Pr  0.1935  0.0000  0.0000 [8 per cell]  2 Ho 3.18, 1 Pr 3.28
Ho  0.0000  0.4894  0.2500 [4 per cell]  1 Pm 3.09, 4 Pr 3.18, 1 Er 3.22
Er  0.0000  0.2344  0.7500 [4 per cell]  1 Ho 3.22